Sm4Y7Tm, relaxed, DFT GGA-PBE; DOS at the Fermi energy = 17.62 states/eV/f.u.; distance to the lowest polymorph of the same formula = 144 meV per atom; energy = -0.2016 Ha/atom; formation energy from the elements = 0.231 eV/atom
1.0
-1.322 -2.276 4.768
1.691 -12.933 -2.594
4.503 0.234 4.470
Sm Y Tm
4 7 1
Cartesian
0.739 -4.468 4.293
4.133 -10.507 2.351
0.851 -10.840 1.283
4.021 -4.135 5.361
2.371 -13.390 3.597
2.501 -1.585 3.047
1.834 -10.202 4.970
3.038 -4.773 1.674
4.128 -7.444 3.812
-0.661 -1.138 2.384
0.744 -7.531 2.832
0.000 0.000 0.000

=====

FeBi2BI, relaxed, DFT GGA-PBE; DOS at the Fermi energy = 7.12 states/eV/f.u.; energy = -0.1013 Ha/atom; formation energy without anion corrections = 2.135 eV/atom
1.0
6.042 0.000 0.000
0.000 4.526 0.000
0.000 0.000 6.042
I B Bi Fe
1 1 2 1
Cartesian
0.000 0.000 0.000
3.021 2.263 3.021
0.000 0.000 3.021
3.021 0.000 0.000
0.000 2.263 0.000

=====

SrPtBr6, relaxed, DFT GGA-PBE; distance to the lowest polymorph of the same formula = 74 meV per atom; energy = -0.1140 Ha/atom; formation energy without anion corrections = -0.882 eV/atom
1.0
6.828 0.010 0.007
3.407 5.922 0.011
3.402 1.967 6.347
Sr Pt Br
1 1 6
Cartesian
6.818 3.949 3.183
0.000 0.000 0.000
4.180 3.872 4.911
8.194 1.699 4.913
5.566 1.633 1.447
5.443 6.199 1.452
9.457 4.026 1.455
8.071 6.266 4.919

=====

Which of these has the highest energy? FeBi2BI

=====

Number 3 is which compound? SrPtBr6

=====

What is the formula in the first record? Sm4Y7Tm